# SrCoO PBE with a Hubbard U optimized geometry
# Final energy: -5.076 eV per atom
# Volume: 250.9 Å³/cell
data_SrCoO
_symmetry_space_group_name_H-M 'P n m a'
_symmetry_Int_Tables_number 62
_symmetry_space_group_name_Hall '-P 2ac 2n'
_cell_length_a 8.397
_cell_length_b 3.943
_cell_length_c 7.579
_cell_angle_alpha 90.00
_cell_angle_beta 90.00
_cell_angle_gamma 90.00
loop_
_atom_site_label
_atom_site_type_symbol
_atom_site_fract_x
_atom_site_fract_y
_atom_site_fract_z
Sr1 Sr 0.156 0.250 0.113
Co1 Co 0.017 0.250 0.593
O1 O 0.009 0.250 0.835